Here is UFe2B after structural relaxation from Alexandria. Energies are from GGA-PBE.

Lattice parameters (Å, degrees): 2.9045 2.9045 21.2028 90.00 90.00 120.00
Last column: nearest neighbours and their distance in Å.
Atoms (fractional coordinates):
U 0.0000 0.0000 0.0000  6 U 2.90, 6 Fe 2.97
U 0.3333 0.6667 0.6667  6 U 2.90, 6 Fe 2.97
U 0.6667 0.3333 0.3333  6 U 2.90, 6 Fe 2.97
Fe 0.0000 0.0000 0.2177  3 B 2.00
Fe 0.0000 0.0000 0.7823  3 B 2.00
Fe 0.3333 0.6667 0.4490  3 B 2.00
Fe 0.3333 0.6667 0.8844  3 B 2.00
Fe 0.6667 0.3333 0.1156  3 B 2.00
Fe 0.6667 0.3333 0.5510  3 B 2.00
B 0.0000 0.0000 0.5000  6 Fe 2.00
B 0.3333 0.6667 0.1667  6 Fe 2.00
B 0.6667 0.3333 0.8333  6 Fe 2.00

DFT formation energy = 104 meV/atom
Magnetic moment = 3.12 μB per cell
Crystal system = trigonal